1.
Here is a geometry-optimized Ba2PuP2N6 structure from Alexandria via LeMat-Bulk. Energies are from PBE.

## Properties
The calculation puts the raw formation energy at -836 meV per atom. The space group is R-3m, No. 166.

```
Ba2PuP2N6
1.0
2.938 1.696 5.603
-2.938 1.696 5.603
0.000 -3.392 5.603
Ba Pu P N
2 1 2 6
direct
0.230 0.230 0.230
0.770 0.770 0.770
0.000 0.000 0.000
0.433 0.433 0.433
0.567 0.567 0.567
0.253 0.253 0.721
0.253 0.721 0.253
0.279 0.747 0.747
0.721 0.253 0.253
0.747 0.279 0.747
0.747 0.747 0.279
```

2.
Here is a geometry-optimized AsPIrC structure from Alexandria via LeMat-Bulk. Energies are from PBE.

## Properties
The energy above the lowest structure with this stoichiometry comes out at 0.000 eV per atom. For the formation energy, the calculation gives 0.370 eV/atom. The space group is P1, No. 1.

```
AsPIrC
1.0
3.342 0.000 0.000
-1.650 4.048 0.000
-0.019 -0.147 4.639
As P Ir C
1 1 1 1
direct
0.000 0.000 0.000
0.496 0.995 0.634
0.274 0.559 0.293
0.678 0.361 0.442
```

3.
Here is a geometry-optimized Li5AsO4F2 structure from Alexandria via LeMat-Bulk. Energies are from PBE.

## Properties
The calculation puts the raw formation energy at -2217 meV per atom. The space group is Amm2, No. 38.

```
Li5AsO4F2
1.0
5.867 0.000 0.000
0.000 4.269 2.431
0.000 -4.269 2.431
Li As O F
5 1 4 2
direct
0.000 0.000 0.000
0.247 0.313 0.683
0.247 0.683 0.313
0.753 0.313 0.683
0.753 0.683 0.313
0.500 0.028 0.028
0.263 0.239 0.239
0.500 0.658 0.987
0.500 0.987 0.658
0.737 0.239 0.239
0.000 0.589 0.946
0.000 0.946 0.589
```

4.
Here is a geometry-optimized BaAg2SnCl8 structure from Alexandria via LeMat-Bulk. Energies are from PBE.

## Properties
The calculation puts the raw formation energy at -1144 meV per atom. The space group is P-1, No. 2.

```
BaAg2SnCl8
1.0
6.509 0.000 0.000
1.086 6.969 0.000
0.101 3.040 8.294
Ba Ag Sn Cl
1 2 1 8
direct
0.000 0.000 0.000
0.497 0.331 0.204
0.503 0.669 0.796
0.000 0.000 0.500
0.091 0.247 0.232
0.146 0.194 0.646
0.338 0.783 0.515
0.432 0.735 0.061
0.568 0.265 0.939
0.662 0.217 0.485
0.854 0.806 0.354
0.909 0.753 0.768
```

no.,volume (Å³/cell)
1,167.5
2,62.8
3,121.8
4,376.2